Here is a geometry-optimized InFeNi2Ag structure from the Alexandria database. Energies are from PBE.

POSCAR file:
```
InFeNi2Ag
1.0
4.6618 0.0000 0.0000
0.0000 4.9679 0.0000
0.0000 0.0000 4.6618
Ni Fe Ag In
2 1 1 1
direct
0.0000 0.0000 0.5000
0.5000 0.0000 0.0000
0.5000 0.5000 0.5000
0.0000 0.0000 0.0000
0.0000 0.5000 0.0000
```

Output
DFT formation energy = 1.417 eV/atom
SG = P4/mmm